# Li4V3Cr3Cu2O16

Li4V3Cr3Cu2O16 after structural relaxation (PBE+U, the Alexandria database).

Summary:
Its symmetry is P1 (1). The calculation puts the total energy at -6.71 eV per atom. The theoretical density comes out at 3.97 g cm⁻³.

The structure in extended XYZ format:
```
28
Lattice="-0.9339 -5.7906 0.4622 5.1941 2.0366 1.6250 -4.1347 1.3677 8.9768" Properties=species:S:1:pos:R:3 pbc="T T T"
O 1.3065 -2.6945 8.2132
O -0.6050 -0.6672 6.9850
O -0.3158 -2.6819 4.3481
O -0.1484 0.0012 4.1755
O 4.2996 2.0445 3.3488
O 0.9234 -4.4883 2.9769
O -0.8463 -2.2396 9.6027
O 1.7080 0.2924 7.7066
O -3.1838 -0.2002 8.3711
O -1.1079 -3.7427 7.3755
O -1.0985 -2.7209 1.9527
O -0.4299 0.8125 9.2527
O -3.6069 -3.2108 8.7260
O 2.1494 -2.0331 5.1657
O 1.6038 -1.9234 2.3531
O 2.5777 0.9249 5.2417
Li 2.8616 -0.3615 2.0679
Li -1.5411 -2.1810 6.2832
Li -2.0809 0.5415 4.6209
Li 0.1497 0.0534 0.1403
Cr -1.6759 0.9129 7.6565
Cr 0.4691 -0.9196 8.6889
Cr -1.0430 -4.2744 3.2976
Cu -2.8529 -1.7048 9.5860
Cu 0.8929 0.0223 5.9258
V 1.5316 -2.9517 3.7227
V -1.0080 -1.3660 3.1065
V 0.7936 2.0205 8.4229
```